(1)
VASP calculation (PBE-GGA) on an optimized crystal structure of NaNdSb2.

Cell lengths 4.133, 4.133, 6.913 Å; angles 90.00, 90.00, 90.00 degrees
Fractional coordinates of all 4 atoms:
Sb1 0.000 0.000 0.269
Sb2 0.000 0.000 0.731
Na1 0.500 0.500 0.000
Nd1 0.500 0.500 0.500

E above lowest polymorph = 0.06 eV/f.u.
uncorrected formation energy = -0.616 eV per atom
N(E_F) = 2.31 states/eV per cell
symmetry = P4/mmm (123)

(2)
VASP calculation (PBE-GGA) on an optimized crystal structure of NaNdSb2.

Cell lengths 5.362, 5.362, 5.563 Å; angles 61.19, 61.19, 60.00 degrees
Fractional coordinates of all 4 atoms:
Na1 0.000 0.000 0.000
Nd1 0.500 0.500 0.500
Sb1 0.749 0.749 0.754
Sb2 0.251 0.251 0.246

E above lowest polymorph = 0.38 eV/f.u.
uncorrected formation energy = -0.536 eV per atom
N(E_F) = 4.70 states/eV per cell
symmetry = R-3m (166)

(3)
VASP calculation (PBE-GGA) on an optimized crystal structure of NaNdSb2.

Cell lengths 4.847, 4.847, 6.945 Å; angles 69.58, 69.58, 60.00 degrees
Fractional coordinates of all 4 atoms:
Na1 0.491 0.491 0.528
Sb1 0.248 0.248 0.257
Sb2 0.090 0.090 0.731
Nd1 0.672 0.672 0.984

E above lowest polymorph = 0.23 eV/f.u.
uncorrected formation energy = -0.573 eV per atom
N(E_F) = 1.61 states/eV per cell
symmetry = R3m (160)

(4)
VASP calculation (PBE-GGA) on an optimized crystal structure of NaNdSb3.

Cell lengths 6.156, 6.471, 14.475 Å; angles 90.00, 90.00, 90.59 degrees
Fractional coordinates of all 20 atoms:
Sb1 0.250 0.000 0.497
Sb2 0.238 0.770 0.896
Sb3 0.003 0.744 0.268
Sb4 0.738 0.770 0.104
Sb5 0.750 0.000 0.503
Nd1 0.489 0.247 0.674
Sb6 0.262 0.230 0.896
Na1 0.250 0.500 0.094
Sb7 0.497 0.256 0.268
Sb8 0.762 0.230 0.104
Sb9 0.503 0.744 0.732
Nd2 0.011 0.753 0.674
Sb10 0.250 0.500 0.497
Nd3 0.989 0.247 0.326
Na2 0.250 0.000 0.103
Na3 0.750 0.500 0.906
Sb11 0.750 0.500 0.503
Sb12 0.997 0.256 0.732
Nd4 0.511 0.753 0.326
Na4 0.750 0.000 0.897

uncorrected formation energy = -0.627 eV per atom
N(E_F) = 9.70 states/eV per cell
symmetry = P2/c (13)

(5)
VASP calculation (PBE-GGA) on an optimized crystal structure of NaNdSb2.

Cell lengths 4.366, 5.048, 5.048 Å; angles 90.00, 90.00, 90.00 degrees
Fractional coordinates of all 4 atoms:
Nd1 0.500 0.500 0.500
Na1 0.500 0.000 0.000
Sb1 0.000 0.500 0.000
Sb2 0.000 0.000 0.500

E above lowest polymorph = 0.00 eV/f.u.
uncorrected formation energy = -0.631 eV per atom
N(E_F) = 1.83 states/eV per cell
symmetry = P4/mmm (123)

(6)
VASP calculation (PBE-GGA) on an optimized crystal structure of NaNdSb2.

Cell lengths 6.352, 6.352, 6.568 Å; angles 90.00, 90.00, 120.89 degrees
Fractional coordinates of all 8 atoms:
Nd1 0.000 0.500 0.320
Na1 0.500 0.500 0.000
Sb1 0.500 0.500 0.500
Na2 0.000 0.000 0.000
Nd2 0.500 0.000 0.680
Sb2 0.500 0.000 0.174
Sb3 0.000 0.000 0.500
Sb4 0.000 0.500 0.826

E above lowest polymorph = 0.12 eV/f.u.
uncorrected formation energy = -0.601 eV per atom
N(E_F) = 5.80 states/eV per cell
symmetry = Cmme (67)